This record from Alexandria via LeMat-Bulk describes an optimized crystal structure of Ba2Ga5Ir2. The functional is GGA-PBE.

a b c (Å): 4.797 4.797 10.429
angles (deg): 90.00 90.00 90.00
Space group P4/mmm (No. 123)
Unique sites:
1 Ba 0.000 0.000 0.000
2 Ba 0.000 0.000 0.500
3 Ga 0.000 0.500 0.243
4 Ga 0.500 0.500 0.500
5 Ir 0.500 0.500 0.274

Computed properties:
DOS at the Fermi energy = 0.74 states/eV/atom
energy of formation from the pure elements = -0.468 eV per atom

=====

This record from Alexandria via LeMat-Bulk describes an optimized crystal structure of Tb2CdCu3Ge4. The functional is GGA-PBE.

a b c (Å): 4.128 4.128 10.760
angles (deg): 90.00 90.00 90.00
Space group P-4m2 (No. 115)
Unique sites:
1 Tb 0.000 0.500 0.241
2 Cd 0.000 0.000 0.500
3 Cu 0.000 0.500 0.871
4 Cu 0.500 0.500 0.500
5 Ge 0.000 0.000 0.000
6 Ge 0.000 0.500 0.652
7 Ge 0.500 0.500 0.000

Computed properties:
DOS at the Fermi energy = 0.24 states/eV/atom
energy of formation from the pure elements = -0.412 eV per atom

=====

This record from Alexandria via LeMat-Bulk describes an optimized crystal structure of CuAg5Cl8. The functional is GGA-PBE.

a b c (Å): 9.607 9.607 7.710
angles (deg): 90.00 90.00 90.00
Space group I-4 (No. 82)
Unique sites:
1 Cu 0.000 0.000 0.000
2 Ag 0.000 0.500 0.250
3 Ag 0.240 0.751 0.641
4 Cl 0.051 0.784 0.891
5 Cl 0.072 0.738 0.384

Computed properties:
ΔE_f (raw) = -0.42 eV/atom
excess energy over the best structure of this formula in the dataset = 0 meV per atom
DOS at the Fermi energy = 0.90 states/eV/atom

=====

This record from Alexandria via LeMat-Bulk describes an optimized crystal structure of CsInOF2. The functional is GGA-PBE.

a b c (Å): 4.639 4.639 4.046
angles (deg): 90.00 90.00 90.00
Space group P4/mmm (No. 123)
Unique sites:
1 Cs 0.000 0.000 0.000
2 In 0.500 0.500 0.500
3 O 0.500 0.500 0.000
4 F 0.000 0.500 0.500

Computed properties:
ΔE_f (raw) = -2.17 eV/atom
excess energy over the best structure of this formula in the dataset = 0 meV per atom

=====

This record from Alexandria via LeMat-Bulk describes an optimized crystal structure of Mo3RuI. The functional is GGA-PBE.

a b c (Å): 4.775 4.775 4.775
angles (deg): 90.00 90.00 90.00
Space group Pm-3m (No. 221)
Unique sites:
1 Mo 0.000 0.000 0.500
2 Ru 0.000 0.000 0.000
3 I 0.500 0.500 0.500

Computed properties:
ΔE_f (raw) = 1.73 eV/atom
excess energy over the best structure of this formula in the dataset = 0 meV per atom
DOS at the Fermi energy = 1.27 states/eV/atom

=====

This record from Alexandria via LeMat-Bulk describes an optimized crystal structure of Cu2Sb2S3. The functional is GGA-PBE.

a b c (Å): 12.326 3.682 6.318
angles (deg): 90.00 100.55 90.00
Space group C2/m (No. 12)
Unique sites:
1 Cu 0.170 0.000 0.399
2 Sb 0.088 0.500 0.858
3 S 0.000 0.000 0.500
4 S 0.223 0.500 0.228

Computed properties:
ΔE_f (raw) = -0.03 eV/atom
DOS at the Fermi energy = 0.43 states/eV/atom

=====

This record from Alexandria via LeMat-Bulk describes an optimized crystal structure of PmHoTm5. The functional is GGA-PBE.

a b c (Å): 7.958 11.636 6.111
angles (deg): 90.00 90.00 90.00
Space group Imm2 (No. 44)
Unique sites:
1 Pm 0.000 0.000 0.000
2 Ho 0.000 0.500 0.741
3 Tm 0.000 0.000 0.474
4 Tm 0.000 0.243 0.731
5 Tm 0.180 0.500 0.237

Computed properties:
excess energy over the best structure of this formula in the dataset = 819 meV per atom
DOS at the Fermi energy = 1.41 states/eV/atom
energy of formation from the pure elements = 1.023 eV per atom

=====

This record from Alexandria via LeMat-Bulk describes an optimized crystal structure of SrReAg2. The functional is GGA-PBE.

a b c (Å): 6.338 8.653 2.882
angles (deg): 90.00 90.00 90.00
Space group Cmmm (No. 65)
Unique sites:
1 Sr 0.000 0.000 0.000
2 Re 0.000 0.500 0.000
3 Ag 0.250 0.250 0.500

Computed properties:
excess energy over the best structure of this formula in the dataset = 57 meV per atom
DOS at the Fermi energy = 0.96 states/eV/atom
energy of formation from the pure elements = 0.729 eV per atom

=====

This record from Alexandria via LeMat-Bulk describes an optimized crystal structure of KPr2F8. The functional is GGA-PBE.

a b c (Å): 14.903 3.943 6.151
angles (deg): 90.00 112.71 90.00
Space group C2/m (No. 12)
Unique sites:
1 K 0.000 0.000 0.000
2 Pr 0.178 0.500 0.684
3 F 0.032 0.500 0.742
4 F 0.105 0.000 0.465
5 F 0.182 0.000 0.950
6 F 0.213 0.500 0.330

Computed properties:
ΔE_f (raw) = -3.45 eV/atom
excess energy over the best structure of this formula in the dataset = 20 meV per atom
DOS at the Fermi energy = 0.80 states/eV/atom